Arrangement one

This record from Alexandria describes an optimized crystal structure of IrCS3. The functional is PBE-GGA.

- Crystal system: cubic
- Calculated volume: 100.1 Å³ per cell
- ρ: 5.0 Mg/m³
- D(E_F): 1.25 states/eV/atom

```
data_IrCS3
_chemical_formula_sum 'Ir1 C1 S3'
_cell_length_a 4.6428
_cell_length_b 4.6428
_cell_length_c 4.6428
_cell_angle_alpha 90.00
_cell_angle_beta 90.00
_cell_angle_gamma 90.00
_space_group_name_H-M_alt 'P m -3 m'
_space_group_IT_number 221
_space_group_name_Hall '-P 4 2 3'
loop_
_atom_site_label
_atom_site_type_symbol
_atom_site_fract_x
_atom_site_fract_y
_atom_site_fract_z
Ir1 Ir 0.0000 0.0000 0.0000
C1 C 0.5000 0.5000 0.5000
S1 S 0.0000 0.0000 0.5000
```



Arrangement two

This record from Alexandria describes an optimized crystal structure of IrCS3. The functional is PBE-GGA.

- Crystal system: cubic
- Calculated volume: 64.2 Å³ per cell
- ρ: 7.8 Mg/m³
- D(E_F): 0.57 states/eV/atom

```
data_IrCS3
_chemical_formula_sum 'Ir1 C1 S3'
_cell_length_a 4.0035
_cell_length_b 4.0035
_cell_length_c 4.0035
_cell_angle_alpha 90.00
_cell_angle_beta 90.00
_cell_angle_gamma 90.00
_space_group_name_H-M_alt 'P m -3 m'
_space_group_IT_number 221
_space_group_name_Hall '-P 4 2 3'
loop_
_atom_site_label
_atom_site_type_symbol
_atom_site_fract_x
_atom_site_fract_y
_atom_site_fract_z
Ir1 Ir 0.0000 0.0000 0.0000
C1 C 0.5000 0.5000 0.5000
S1 S 0.0000 0.5000 0.5000
```



The most stable of them is arrangement two.



Arrangement one

This record from Alexandria describes an optimized crystal structure of Ir2CS. The functional is PBE-GGA.

- Crystal system: tetragonal
- Calculated volume: 241.5 Å³ per cell
- ρ: 11.8 Mg/m³
- D(E_F): 0.62 states/eV/atom

```
data_Ir2CS
_chemical_formula_sum 'Ir8 C4 S4'
_cell_length_a 4.8878
_cell_length_b 4.8878
_cell_length_c 10.1104
_cell_angle_alpha 90.00
_cell_angle_beta 90.00
_cell_angle_gamma 90.00
_space_group_name_H-M_alt 'I -4 2 d'
_space_group_IT_number 122
_space_group_name_Hall 'I -4 2bw'
loop_
_atom_site_label
_atom_site_type_symbol
_atom_site_fract_x
_atom_site_fract_y
_atom_site_fract_z
Ir1 Ir 0.1920 0.2500 0.1250
C1 C 0.0000 0.0000 0.0000
S1 S 0.0000 0.0000 0.5000
```



Arrangement two

This record from Alexandria describes an optimized crystal structure of Ir2CS. The functional is PBE-GGA.

- Crystal system: cubic
- Calculated volume: 196.7 Å³ per cell
- ρ: 14.5 Mg/m³
- D(E_F): 0.69 states/eV/atom

```
data_Ir2CS
_chemical_formula_sum 'Ir8 C4 S4'
_cell_length_a 5.8156
_cell_length_b 5.8156
_cell_length_c 5.8156
_cell_angle_alpha 90.00
_cell_angle_beta 90.00
_cell_angle_gamma 90.00
_space_group_name_H-M_alt 'F m -3 m'
_space_group_IT_number 225
_space_group_name_Hall '-F 4 2 3'
loop_
_atom_site_label
_atom_site_type_symbol
_atom_site_fract_x
_atom_site_fract_y
_atom_site_fract_z
Ir1 Ir 0.2500 0.2500 0.2500
C1 C 0.0000 0.0000 0.0000
S1 S 0.0000 0.0000 0.5000
```



The most stable of them is arrangement one.



Arrangement one

This record from Alexandria describes an optimized crystal structure of IrC3S. The functional is PBE-GGA.

- Crystal system: cubic
- Calculated volume: 46.5 Å³ per cell
- ρ: 9.3 Mg/m³
- D(E_F): 0.48 states/eV/atom

```
data_IrC3S
_chemical_formula_sum 'Ir1 C3 S1'
_cell_length_a 3.5953
_cell_length_b 3.5953
_cell_length_c 3.5953
_cell_angle_alpha 90.00
_cell_angle_beta 90.00
_cell_angle_gamma 90.00
_space_group_name_H-M_alt 'P m -3 m'
_space_group_IT_number 221
_space_group_name_Hall '-P 4 2 3'
loop_
_atom_site_label
_atom_site_type_symbol
_atom_site_fract_x
_atom_site_fract_y
_atom_site_fract_z
Ir1 Ir 0.0000 0.0000 0.0000
C1 C 0.0000 0.5000 0.5000
S1 S 0.5000 0.5000 0.5000
```



Arrangement two

This record from Alexandria describes an optimized crystal structure of IrC3S. The functional is PBE-GGA.

- Crystal system: cubic
- Calculated volume: 64.0 Å³ per cell
- ρ: 6.8 Mg/m³
- D(E_F): 0.57 states/eV/atom

```
data_IrC3S
_chemical_formula_sum 'Ir1 C3 S1'
_cell_length_a 4.0008
_cell_length_b 4.0008
_cell_length_c 4.0008
_cell_angle_alpha 90.00
_cell_angle_beta 90.00
_cell_angle_gamma 90.00
_space_group_name_H-M_alt 'P m -3 m'
_space_group_IT_number 221
_space_group_name_Hall '-P 4 2 3'
loop_
_atom_site_label
_atom_site_type_symbol
_atom_site_fract_x
_atom_site_fract_y
_atom_site_fract_z
Ir1 Ir 0.0000 0.0000 0.0000
C1 C 0.0000 0.0000 0.5000
S1 S 0.5000 0.5000 0.5000
```



The most stable of them is arrangement two.



Arrangement one

This record from Alexandria describes an optimized crystal structure of SbIr3C. The functional is PBE-GGA.

- Crystal system: cubic
- Calculated volume: 74.9 Å³ per cell
- ρ: 15.7 Mg/m³
- D(E_F): 0.67 states/eV/atom

```
data_SbIr3C
_chemical_formula_sum 'Sb1 Ir3 C1'
_cell_length_a 4.2160
_cell_length_b 4.2160
_cell_length_c 4.2160
_cell_angle_alpha 90.00
_cell_angle_beta 90.00
_cell_angle_gamma 90.00
_space_group_name_H-M_alt 'P m -3 m'
_space_group_IT_number 221
_space_group_name_Hall '-P 4 2 3'
loop_
_atom_site_label
_atom_site_type_symbol
_atom_site_fract_x
_atom_site_fract_y
_atom_site_fract_z
Sb1 Sb 0.0000 0.0000 0.0000
Ir1 Ir 0.0000 0.5000 0.5000
C1 C 0.5000 0.5000 0.5000
```



Arrangement two

This record from Alexandria describes an optimized crystal structure of SbIr3C. The functional is PBE-GGA.

- Crystal system: cubic
- Calculated volume: 114.3 Å³ per cell
- ρ: 10.3 Mg/m³
- D(E_F): 1.62 states/eV/atom

```
data_SbIr3C
_chemical_formula_sum 'Sb1 Ir3 C1'
_cell_length_a 4.8530
_cell_length_b 4.8530
_cell_length_c 4.8530
_cell_angle_alpha 90.00
_cell_angle_beta 90.00
_cell_angle_gamma 90.00
_space_group_name_H-M_alt 'P m -3 m'
_space_group_IT_number 221
_space_group_name_Hall '-P 4 2 3'
loop_
_atom_site_label
_atom_site_type_symbol
_atom_site_fract_x
_atom_site_fract_y
_atom_site_fract_z
Sb1 Sb 0.0000 0.0000 0.0000
Ir1 Ir 0.0000 0.0000 0.5000
C1 C 0.5000 0.5000 0.5000
```



The most stable of them is arrangement one.



Arrangement one

This record from Alexandria describes an optimized crystal structure of SbIrC3. The functional is PBE-GGA.

- Crystal system: cubic
- Calculated volume: 67.2 Å³ per cell
- ρ: 8.7 Mg/m³
- D(E_F): 0.71 states/eV/atom

```
data_SbIrC3
_chemical_formula_sum 'Sb1 Ir1 C3'
_cell_length_a 4.0654
_cell_length_b 4.0654
_cell_length_c 4.0654
_cell_angle_alpha 90.00
_cell_angle_beta 90.00
_cell_angle_gamma 90.00
_space_group_name_H-M_alt 'P m -3 m'
_space_group_IT_number 221
_space_group_name_Hall '-P 4 2 3'
loop_
_atom_site_label
_atom_site_type_symbol
_atom_site_fract_x
_atom_site_fract_y
_atom_site_fract_z
Sb1 Sb 0.0000 0.0000 0.0000
Ir1 Ir 0.5000 0.5000 0.5000
C1 C 0.0000 0.5000 0.5000
```



Arrangement two

This record from Alexandria describes an optimized crystal structure of SbIrC3. The functional is PBE-GGA.

- Crystal system: cubic
- Calculated volume: 71.6 Å³ per cell
- ρ: 8.1 Mg/m³
- D(E_F): 1.16 states/eV/atom

```
data_SbIrC3
_chemical_formula_sum 'Sb1 Ir1 C3'
_cell_length_a 4.1531
_cell_length_b 4.1531
_cell_length_c 4.1531
_cell_angle_alpha 90.00
_cell_angle_beta 90.00
_cell_angle_gamma 90.00
_space_group_name_H-M_alt 'P m -3 m'
_space_group_IT_number 221
_space_group_name_Hall '-P 4 2 3'
loop_
_atom_site_label
_atom_site_type_symbol
_atom_site_fract_x
_atom_site_fract_y
_atom_site_fract_z
Sb1 Sb 0.0000 0.0000 0.0000
Ir1 Ir 0.5000 0.5000 0.5000
C1 C 0.0000 0.0000 0.5000
```



The most stable of them is arrangement one.



Arrangement one

This record from Alexandria describes an optimized crystal structure of Sb3IrC. The functional is PBE-GGA.

- Crystal system: cubic
- Calculated volume: 136.0 Å³ per cell
- ρ: 7.0 Mg/m³
- D(E_F): 1.08 states/eV/atom

```
data_Sb3IrC
_chemical_formula_sum 'Sb3 Ir1 C1'
_cell_length_a 5.1429
_cell_length_b 5.1429
_cell_length_c 5.1429
_cell_angle_alpha 90.00
_cell_angle_beta 90.00
_cell_angle_gamma 90.00
_space_group_name_H-M_alt 'P m -3 m'
_space_group_IT_number 221
_space_group_name_Hall '-P 4 2 3'
loop_
_atom_site_label
_atom_site_type_symbol
_atom_site_fract_x
_atom_site_fract_y
_atom_site_fract_z
Sb1 Sb 0.0000 0.0000 0.5000
Ir1 Ir 0.0000 0.0000 0.0000
C1 C 0.5000 0.5000 0.5000
```



Arrangement two

This record from Alexandria describes an optimized crystal structure of Sb3IrC. The functional is PBE-GGA.

- Crystal system: cubic
- Calculated volume: 95.6 Å³ per cell
- ρ: 9.9 Mg/m³
- D(E_F): 0.65 states/eV/atom

```
data_Sb3IrC
_chemical_formula_sum 'Sb3 Ir1 C1'
_cell_length_a 4.5721
_cell_length_b 4.5721
_cell_length_c 4.5721
_cell_angle_alpha 90.00
_cell_angle_beta 90.00
_cell_angle_gamma 90.00
_space_group_name_H-M_alt 'P m -3 m'
_space_group_IT_number 221
_space_group_name_Hall '-P 4 2 3'
loop_
_atom_site_label
_atom_site_type_symbol
_atom_site_fract_x
_atom_site_fract_y
_atom_site_fract_z
Sb1 Sb 0.0000 0.0000 0.5000
Ir1 Ir 0.5000 0.5000 0.5000
C1 C 0.0000 0.0000 0.0000
```



The most stable of them is arrangement two.



Arrangement one

This record from Alexandria describes an optimized crystal structure of Sb2TeIrC. The functional is PBE-GGA.

- Crystal system: tetragonal
- Calculated volume: 97.1 Å³ per cell
- ρ: 9.8 Mg/m³
- D(E_F): 0.52 states/eV/atom

```
data_Sb2TeIrC
_chemical_formula_sum 'Sb2 Te1 Ir1 C1'
_cell_length_a 4.6061
_cell_length_b 4.6061
_cell_length_c 4.5772
_cell_angle_alpha 90.00
_cell_angle_beta 90.00
_cell_angle_gamma 90.00
_space_group_name_H-M_alt 'P 4/m m m'
_space_group_IT_number 123
_space_group_name_Hall '-P 4 2'
loop_
_atom_site_label
_atom_site_type_symbol
_atom_site_fract_x
_atom_site_fract_y
_atom_site_fract_z
Sb1 Sb 0.0000 0.5000 0.0000
Te1 Te 0.0000 0.0000 0.5000
Ir1 Ir 0.5000 0.5000 0.5000
C1 C 0.0000 0.0000 0.0000
```



Arrangement two

This record from Alexandria describes an optimized crystal structure of Sb2TeIrC. The functional is PBE-GGA.

- Crystal system: tetragonal
- Calculated volume: 143.5 Å³ per cell
- ρ: 6.7 Mg/m³
- D(E_F): 0.98 states/eV/atom

```
data_Sb2TeIrC
_chemical_formula_sum 'Sb2 Te1 Ir1 C1'
_cell_length_a 5.0471
_cell_length_b 5.0471
_cell_length_c 5.6341
_cell_angle_alpha 90.00
_cell_angle_beta 90.00
_cell_angle_gamma 90.00
_space_group_name_H-M_alt 'P 4/m m m'
_space_group_IT_number 123
_space_group_name_Hall '-P 4 2'
loop_
_atom_site_label
_atom_site_type_symbol
_atom_site_fract_x
_atom_site_fract_y
_atom_site_fract_z
Sb1 Sb 0.0000 0.5000 0.0000
Te1 Te 0.0000 0.0000 0.5000
Ir1 Ir 0.0000 0.0000 0.0000
C1 C 0.5000 0.5000 0.5000
```



The most stable of them is arrangement one.



Arrangement one

This record from Alexandria describes an optimized crystal structure of SbTe2IrC. The functional is PBE-GGA.

- Crystal system: tetragonal
- Calculated volume: 98.7 Å³ per cell
- ρ: 9.8 Mg/m³
- D(E_F): 0.37 states/eV/atom

```
data_SbTe2IrC
_chemical_formula_sum 'Sb1 Te2 Ir1 C1'
_cell_length_a 4.6496
_cell_length_b 4.6496
_cell_length_c 4.5648
_cell_angle_alpha 90.00
_cell_angle_beta 90.00
_cell_angle_gamma 90.00
_space_group_name_H-M_alt 'P 4/m m m'
_space_group_IT_number 123
_space_group_name_Hall '-P 4 2'
loop_
_atom_site_label
_atom_site_type_symbol
_atom_site_fract_x
_atom_site_fract_y
_atom_site_fract_z
Sb1 Sb 0.0000 0.0000 0.0000
Te1 Te 0.0000 0.5000 0.5000
Ir1 Ir 0.5000 0.5000 0.0000
C1 C 0.0000 0.0000 0.5000
```



Arrangement two

This record from Alexandria describes an optimized crystal structure of SbTe2IrC. The functional is PBE-GGA.

- Crystal system: tetragonal
- Calculated volume: 144.6 Å³ per cell
- ρ: 6.7 Mg/m³
- D(E_F): 1.10 states/eV/atom

```
data_SbTe2IrC
_chemical_formula_sum 'Sb1 Te2 Ir1 C1'
_cell_length_a 5.3846
_cell_length_b 5.3846
_cell_length_c 4.9863
_cell_angle_alpha 90.00
_cell_angle_beta 90.00
_cell_angle_gamma 90.00
_space_group_name_H-M_alt 'P 4/m m m'
_space_group_IT_number 123
_space_group_name_Hall '-P 4 2'
loop_
_atom_site_label
_atom_site_type_symbol
_atom_site_fract_x
_atom_site_fract_y
_atom_site_fract_z
Sb1 Sb 0.0000 0.0000 0.0000
Te1 Te 0.0000 0.5000 0.5000
Ir1 Ir 0.0000 0.0000 0.5000
C1 C 0.5000 0.5000 0.0000
```



The most stable of them is arrangement one.